# 1
VASP calculation (GGA-PBE) on a relaxed structure of TbHfAgRh.

Structure (POSCAR):
```
TbHfAgRh
1.0
0.000 3.436 3.436
3.436 0.000 3.436
3.436 3.436 0.000
Tb Hf Ag Rh
1 1 1 1
direct
0.000 0.000 0.000
0.500 0.500 0.500
0.250 0.250 0.250
0.750 0.750 0.750
```

Values from the calculation:
SG: No. 216
V: 20.28 Å³ per atom
E_tot: -26.36 eV/cell

***

# 2
VASP calculation (GGA-PBE) on a relaxed structure of YHfAgRh.

Structure (POSCAR):
```
YHfAgRh
1.0
0.000 3.433 3.433
3.433 0.000 3.433
3.433 3.433 0.000
Y Hf Ag Rh
1 1 1 1
direct
0.000 0.000 0.000
0.500 0.500 0.500
0.750 0.750 0.750
0.250 0.250 0.250
```

Values from the calculation:
SG: No. 216
V: 20.23 Å³ per atom
E_tot: -28.24 eV/cell

***

# 3
VASP calculation (GGA-PBE) on a relaxed structure of HfZrAgRh.

Structure (POSCAR):
```
HfZrAgRh
1.0
0.000 3.354 3.354
3.354 0.000 3.354
3.354 3.354 0.000
Hf Zr Ag Rh
1 1 1 1
direct
0.000 0.000 0.000
0.500 0.500 0.500
0.250 0.250 0.250
0.750 0.750 0.750
```

Values from the calculation:
SG: No. 216
V: 18.86 Å³ per atom
E_tot: -30.08 eV/cell

***

# 4
VASP calculation (GGA-PBE) on a relaxed structure of Hf3AgRu.

Structure (POSCAR):
```
Hf3AgRu
1.0
4.958 0.000 0.000
0.000 4.958 0.000
0.000 0.000 4.958
Hf Ag Ru
3 1 1
direct
0.000 0.000 0.500
0.000 0.500 0.000
0.500 0.000 0.000
0.500 0.500 0.500
0.000 0.000 0.000
```

Values from the calculation:
SG: No. 221
V: 24.37 Å³ per atom
E above lowest polymorph: 0.00 eV/f.u.

***

# 5
VASP calculation (GGA-PBE) on a relaxed structure of HfAgRu3.

Structure (POSCAR):
```
HfAgRu3
1.0
4.773 0.000 0.000
0.000 4.773 0.000
0.000 0.000 4.773
Hf Ag Ru
1 1 3
direct
0.000 0.000 0.000
0.500 0.500 0.500
0.000 0.000 0.500
0.000 0.500 0.000
0.500 0.000 0.000
```

Values from the calculation:
SG: No. 221
V: 21.75 Å³ per atom
E above lowest polymorph: 0.00 eV/f.u.

***

# 6
VASP calculation (GGA-PBE) on a relaxed structure of HfAgRu3.

Structure (POSCAR):
```
HfAgRu3
1.0
4.719 0.000 0.000
0.000 4.719 0.000
0.000 0.000 4.719
Hf Ag Ru
1 1 3
direct
0.000 0.000 0.000
0.500 0.500 0.500
0.000 0.500 0.500
0.500 0.000 0.500
0.500 0.500 0.000
```

Values from the calculation:
SG: No. 221
V: 21.01 Å³ per atom
E above lowest polymorph: 1.81 eV/f.u.

***

# 7
VASP calculation (GGA-PBE) on a relaxed structure of HfAgRu2.

Structure (POSCAR):
```
HfAgRu2
1.0
-1.989 1.989 9.273
1.989 -1.989 9.273
1.989 1.989 -9.273
Hf Ag Ru
2 2 4
direct
0.000 0.000 0.000
0.750 0.250 0.500
0.250 0.750 0.500
0.500 0.500 0.000
0.068 0.625 0.943
0.375 0.318 0.443
0.682 0.125 0.057
0.875 0.932 0.557
```

Values from the calculation:
SG: No. 122
V: 18.34 Å³ per atom
E above lowest polymorph: 1.98 eV/f.u.

***

# 8
VASP calculation (GGA-PBE) on a relaxed structure of HfAg3Ru.

Structure (POSCAR):
```
HfAg3Ru
1.0
4.895 0.000 0.000
0.000 4.895 0.000
0.000 0.000 4.895
Hf Ag Ru
1 3 1
direct
0.000 0.000 0.000
0.000 0.500 0.500
0.500 0.000 0.500
0.500 0.500 0.000
0.500 0.500 0.500
```

Values from the calculation:
SG: No. 221
V: 23.46 Å³ per atom
E above lowest polymorph: 0.00 eV/f.u.

***

# 9
VASP calculation (GGA-PBE) on a relaxed structure of HfAg3Ru.

Structure (POSCAR):
```
HfAg3Ru
1.0
5.017 0.000 0.000
0.000 5.017 0.000
0.000 0.000 5.017
Hf Ag Ru
1 3 1
direct
0.000 0.000 0.000
0.000 0.000 0.500
0.000 0.500 0.000
0.500 0.000 0.000
0.500 0.500 0.500
```

Values from the calculation:
SG: No. 221
V: 25.25 Å³ per atom
E above lowest polymorph: 2.57 eV/f.u.

***

# 10
VASP calculation (GGA-PBE) on a relaxed structure of HfAgRu2.

Structure (POSCAR):
```
HfAgRu2
1.0
0.000 3.197 3.197
3.197 0.000 3.197
3.197 3.197 0.000
Hf Ag Ru
1 1 2
direct
0.000 0.000 0.000
0.500 0.500 0.500
0.250 0.250 0.250
0.750 0.750 0.750
```

Values from the calculation:
SG: No. 225
V: 16.34 Å³ per atom
E above lowest polymorph: 0.00 eV/f.u.

***

# 11
VASP calculation (GGA-PBE) on a relaxed structure of HfScAgRu.

Structure (POSCAR):
```
HfScAgRu
1.0
0.000 3.318 3.318
3.318 0.000 3.318
3.318 3.318 0.000
Hf Sc Ag Ru
1 1 1 1
direct
0.000 0.000 0.000
0.500 0.500 0.500
0.750 0.750 0.750
0.250 0.250 0.250
```

Values from the calculation:
SG: No. 216
V: 18.27 Å³ per atom
E_tot: -29.88 eV/cell

***

# 12
VASP calculation (GGA-PBE) on a relaxed structure of HfTc2AgRu.

Structure (POSCAR):
```
HfTc2AgRu
1.0
4.586 0.000 0.000
0.000 4.586 0.000
0.000 0.000 4.888
Hf Tc Ag Ru
1 2 1 1
direct
0.000 0.000 0.000
0.000 0.500 0.500
0.500 0.000 0.500
0.500 0.500 0.000
0.500 0.500 0.500
```

Values from the calculation:
SG: No. 123
V: 20.56 Å³ per atom
E_tot: -36.44 eV/cell